Entry 1:
# Ho2Fe3B4

Crystalline Ho2Fe3B4 at its relaxed geometry (PBE, Alexandria).

Unit cell a=4.9938 b=8.7422 c=9.8599 alpha=90.00 beta=90.00 gamma=90.00
Last column: nearest neighbours and their distance in Å.
Space group Fmmm (No. 69)
Asymmetric unit:
Ho1 0.0000 0.0000 0.1526 (multiplicity 8)  4 B 2.53-2.59
Fe1 0.0000 0.0000 0.5000 (multiplicity 4)  4 B 2.45, 4 Fe 2.52
Fe2 0.2500 0.2500 0.0000 (multiplicity 8)  4 B 2.07
B1 0.0000 0.2111 0.3368 (multiplicity 16)  1 B 1.84

Output
Energy of formation from the pure elements = -0.0494 eV/atom
N(E_F) = 18.38 states/eV per cell
Final energy = -6.855 eV per atom

Entry 2:
# UTc2As

Crystalline UTc2As at its relaxed geometry (PBE, Alexandria).

Unit cell a=6.4877 b=6.4877 c=6.4877 alpha=90.00 beta=90.00 gamma=90.00
Last column: nearest neighbours and their distance in Å.
Space group Fm-3m (No. 225)
Asymmetric unit:
U1 0.0000 0.0000 0.0000 (multiplicity 4)  8 Tc 2.81
Tc1 0.2500 0.2500 0.2500 (multiplicity 8)  4 As 2.81, 4 U 2.81
As1 0.0000 0.0000 0.5000 (multiplicity 4)  8 Tc 2.81

Output
Energy of formation from the pure elements = -0.0579 eV/atom
N(E_F) = 25.66 states/eV per cell
Final energy = -9.225 eV per atom

Entry 3:
# FeReP2S

Crystalline FeReP2S at its relaxed geometry (PBE, Alexandria).

Unit cell a=4.2836 b=4.2836 c=4.3006 alpha=90.00 beta=90.00 gamma=90.00
Last column: nearest neighbours and their distance in Å.
Space group P4/mmm (No. 123)
Asymmetric unit:
Fe1 0.0000 0.0000 0.0000 (multiplicity 1)  4 P 2.14, 2 S 2.15
Re1 0.5000 0.5000 0.5000 (multiplicity 1)  4 S 3.03, 8 P 3.04
P1 0.0000 0.5000 0.0000 (multiplicity 2)  2 Fe 2.14
S1 0.0000 0.0000 0.5000 (multiplicity 1)  2 Fe 2.15

Output
Formation energy from raw total energies = 1.07 eV per atom
N(E_F) = 4.00 states/eV per cell
Final energy = -6.097 eV per atom

Entry 4:
# Ag2IN2

Crystalline Ag2IN2 at its relaxed geometry (PBE, Alexandria).

Unit cell a=8.9416 b=5.1694 c=9.3031 alpha=90.00 beta=118.06 gamma=90.00
Last column: nearest neighbours and their distance in Å.
Space group C2/m (No. 12)
Asymmetric unit:
Ag1 0.1668 0.0000 0.0004 (multiplicity 4)  3 Ag 2.98, 3 I 2.98
I1 0.0000 0.5000 0.0000 (multiplicity 2)  6 Ag 2.98
N1 0.0700 0.5000 0.5391 (multiplicity 4)  1 N 1.11

Output
Formation energy from raw total energies = 0.17 eV per atom
N(E_F) = 1.17 states/eV per cell
Final energy = -4.611 eV per atom

Entry 5:
# UNiH4

Crystalline UNiH4 at its relaxed geometry (PBE, Alexandria).

Unit cell a=3.8803 b=6.1514 c=4.5904 alpha=90.00 beta=92.90 gamma=90.00
Last column: nearest neighbours and their distance in Å.
Space group P2_1/m (No. 11)
Asymmetric unit:
U1 0.2275 0.2500 0.2968 (multiplicity 2)  10 H 2.17-2.36
Ni1 0.2078 0.7500 0.2483 (multiplicity 2)  4 H 1.57-1.65
H1 0.2180 0.2500 0.7953 (multiplicity 2)  1 Ni 1.65
H2 0.2616 0.5807 0.5196 (multiplicity 4)  1 Ni 1.63
H3 0.2852 0.7500 0.9158 (multiplicity 2)  1 Ni 1.57

Output
N(E_F) = 12.77 states/eV per cell
Final energy = -5.188 eV per atom

Entry 6:
# NpCrC

Crystalline NpCrC at its relaxed geometry (PBE, Alexandria).

Unit cell a=10.4390 b=3.0562 c=5.7243 alpha=90.00 beta=120.35 gamma=90.00
Last column: nearest neighbours and their distance in Å.
Space group C2/m (No. 12)
Asymmetric unit:
Np1 0.1621 0.0000 0.3136 (multiplicity 4)  2 C 2.31, 2 Np 2.51
Cr1 0.1094 0.0000 0.7762 (multiplicity 4)  2 C 2.08
C1 0.0000 0.5000 0.0000 (multiplicity 2)  4 Np 2.31
C2 0.0000 0.5000 0.5000 (multiplicity 2)  4 Cr 2.08

Output
Energy of formation from the pure elements = 0.5057 eV/atom
N(E_F) = 14.76 states/eV per cell
Final energy = -10.090 eV per atom

Entry 7:
# LaHo7Er3

Crystalline LaHo7Er3 at its relaxed geometry (PBE, Alexandria).

Unit cell a=12.5127 b=11.1683 c=5.7776 alpha=90.00 beta=117.41 gamma=90.00
Last column: nearest neighbours and their distance in Å.
Space group C2/m (No. 12)
Asymmetric unit:
La1 0.0000 0.0000 0.0000 (multiplicity 2)  2 Ho 2.89
Ho1 0.0000 0.0000 0.5000 (multiplicity 2)  2 La 2.89
Ho2 0.2053 0.5000 0.7049 (multiplicity 4)  2 Er 3.23, 1 La 3.27, 6 Ho 3.56-3.61
Ho3 0.2093 0.3070 0.2093 (multiplicity 8)  2 Er 3.17-3.42, 2 Ho 3.28-3.29
Er1 0.0000 0.2950 0.5000 (multiplicity 4)  5 Ho 3.23-3.42
Er2 0.0000 0.5000 0.0000 (multiplicity 2)  4 Ho 3.17

Output
Energy of formation from the pure elements = 0.2595 eV/atom
N(E_F) = 35.43 states/eV per cell
Final energy = -4.346 eV per atom

Entry 8:
# K2PuH2O4

Crystalline K2PuH2O4 at its relaxed geometry (PBE, Alexandria).

Unit cell a=12.4790 b=3.4392 c=6.4137 alpha=90.00 beta=108.63 gamma=90.00
Last column: nearest neighbours and their distance in Å.
Space group C2/m (No. 12)
Asymmetric unit:
K1 0.1406 0.0000 0.0737 (multiplicity 4)  5 O 2.72-2.96, 2 H 2.79
Pu1 0.0000 0.0000 0.5000 (multiplicity 2)  6 O 2.22-2.37
H1 0.2407 0.0000 0.5896 (multiplicity 4)  1 O 0.98
O1 0.0170 0.5000 0.2948 (multiplicity 4)  2 Pu 2.22
O2 0.1969 0.0000 0.6912 (multiplicity 4)  1 H 0.98

Output
N(E_F) = 6.26 states/eV per cell
Final energy = -6.628 eV per atom